PBE-GGA TaPtRh2C, relaxed; ρ = 8972 kg/m3; final energy = -5.76 eV/atom; formation energy from the elements = 2609 meV/atom
1.0
4.800 0.000 0.000
0.000 4.800 0.000
0.000 0.000 4.771
Ta Pt Rh C
1 1 2 1
direct
0.000 0.000 0.000
0.000 0.000 0.500
0.000 0.500 0.500
0.500 0.000 0.500
0.500 0.500 0.000